Record 1
Material: LiCdAs2
Method: DFT, SCAN
State: PBEsol geometry

Summary:
Space group: I-4m2
Formation energy, eV per atom: -0.085
E, eV per atom: -18.38
N(E_F), states/eV/cell: 1.3

Unit cell a=5.3186 b=5.3186 c=5.3186 alpha=135.20 beta=135.20 gamma=65.21
Sites, in units of the cell vectors:
1 Li 0.0000 0.0000 0.0000
2 Cd 0.2500 0.7500 0.5000
3 As 0.5000 0.5000 0.0000
4 As 0.7500 0.2500 0.5000

***

Record 2
Material: LiCd2As
Method: DFT, SCAN
State: PBEsol geometry

Summary:
Space group: R-3m
Formation energy, eV per atom: 0.002
E, eV per atom: -20.85
N(E_F), states/eV/cell: 1.7

Unit cell a=9.7170 b=9.7170 c=9.7170 alpha=18.04 beta=18.04 gamma=18.04
Sites, in units of the cell vectors:
1 Li 0.0000 0.0000 0.0000
2 Cd 0.2541 0.2541 0.2541
3 Cd 0.7459 0.7459 0.7459
4 As 0.5000 0.5000 0.5000

***

Record 3
Material: LiCdReAs2
Method: DFT, SCAN
State: PBEsol geometry

Summary:
Space group: P4/mmm
Formation energy, eV per atom: 0.270
E, eV per atom: -28.59
N(E_F), states/eV/cell: 2.0

Unit cell a=4.7665 b=4.7665 c=5.2408 alpha=90.00 beta=90.00 gamma=90.00
Sites, in units of the cell vectors:
1 Li 0.0000 0.0000 0.0000
2 Cd 0.5000 0.5000 0.0000
3 Re 0.5000 0.5000 0.5000
4 As 0.0000 0.5000 0.5000
5 As 0.5000 0.0000 0.5000

***

Record 4
Material: LiCdAsSe2
Method: DFT, SCAN
State: PBEsol geometry

Summary:
ΔE_f (raw), eV per atom: 0.327
Space group: P4/mmm
E, eV per atom: -18.30
N(E_F), states/eV/cell: 4.1

Unit cell a=5.2690 b=5.2690 c=5.0180 alpha=90.00 beta=90.00 gamma=90.00
Sites, in units of the cell vectors:
1 Li 0.0000 0.0000 0.0000
2 Cd 0.5000 0.5000 0.5000
3 As 0.5000 0.5000 0.0000
4 Se 0.0000 0.5000 0.5000
5 Se 0.5000 0.0000 0.5000

***

Record 5
Material: LiTa2CdAs
Method: DFT, SCAN
State: PBEsol geometry

Summary:
Space group: P4/mmm
Formation energy, eV per atom: 0.983
E, eV per atom: -36.25
N(E_F), states/eV/cell: 4.5

Unit cell a=4.7514 b=4.7514 c=5.0486 alpha=90.00 beta=90.00 gamma=90.00
Sites, in units of the cell vectors:
1 Li 0.0000 0.0000 0.0000
2 Ta 0.0000 0.5000 0.5000
3 Ta 0.5000 0.0000 0.5000
4 Cd 0.5000 0.5000 0.0000
5 As 0.5000 0.5000 0.5000

***

Record 6
Material: LiZnCd2As
Method: DFT, SCAN
State: PBEsol geometry

Summary:
Space group: P4/mmm
Formation energy, eV per atom: 0.162
E, eV per atom: -19.22
N(E_F), states/eV/cell: 1.8

Unit cell a=5.2578 b=5.2578 c=4.7264 alpha=90.00 beta=90.00 gamma=90.00
Sites, in units of the cell vectors:
1 Li 0.0000 0.0000 0.0000
2 Zn 0.5000 0.5000 0.0000
3 Cd 0.0000 0.5000 0.5000
4 Cd 0.5000 0.0000 0.5000
5 As 0.0000 0.0000 0.5000

***

Record 7
Material: MgCd3As
Method: DFT, SCAN
State: PBEsol geometry

Summary:
Space group: Pm-3m
Formation energy, eV per atom: 0.745
E, eV per atom: -22.54
N(E_F), states/eV/cell: 4.0

Unit cell a=5.1480 b=5.1480 c=5.1480 alpha=90.00 beta=90.00 gamma=90.00
Sites, in units of the cell vectors:
1 Mg 0.0000 0.0000 0.0000
2 Cd 0.0000 0.0000 0.5000
3 Cd 0.0000 0.5000 0.0000
4 Cd 0.5000 0.0000 0.0000
5 As 0.5000 0.5000 0.5000

***

Record 8
Material: MgCd2As
Method: DFT, SCAN
State: PBEsol geometry

Summary:
Space group: I-4m2
Formation energy, eV per atom: -0.037
E, eV per atom: -21.54
N(E_F), states/eV/cell: 1.3

Unit cell a=5.4034 b=5.4034 c=5.4034 alpha=133.43 beta=133.43 gamma=67.97
Sites, in units of the cell vectors:
1 Mg 0.0000 0.0000 0.0000
2 Cd 0.2500 0.7500 0.5000
3 Cd 0.5000 0.5000 0.0000
4 As 0.7500 0.2500 0.5000

***

Record 9
Material: MgCd2As
Method: DFT, SCAN
State: PBEsol geometry

Summary:
Space group: Cmmm
Formation energy, eV per atom: 0.043
E, eV per atom: -21.46
N(E_F), states/eV/cell: 1.4

Unit cell a=3.1182 b=3.1182 c=8.4947 alpha=90.00 beta=90.00 gamma=90.16
Sites, in units of the cell vectors:
1 Mg 0.0000 0.0000 0.0000
2 Cd 0.5000 0.5000 0.2516
3 Cd 0.5000 0.5000 0.7484
4 As 0.0000 0.0000 0.5000

***

Record 10
Material: MgCdAsSe2
Method: DFT, SCAN
State: PBEsol geometry

Summary:
ΔE_f (raw), eV per atom: 0.457
Space group: P4/mmm
E, eV per atom: -18.69
N(E_F), states/eV/cell: 3.9

Unit cell a=5.1919 b=5.1919 c=4.9783 alpha=90.00 beta=90.00 gamma=90.00
Sites, in units of the cell vectors:
1 Mg 0.0000 0.0000 0.0000
2 Cd 0.5000 0.5000 0.5000
3 As 0.5000 0.5000 0.0000
4 Se 0.0000 0.5000 0.5000
5 Se 0.5000 0.0000 0.5000

***

Record 11
Material: MnCdAs
Method: DFT, SCAN
State: PBEsol geometry

Summary:
Space group: P-6m2
Formation energy, eV per atom: 0.056
E, eV per atom: -22.90
N(E_F), states/eV/cell: 2.3

Unit cell a=4.0434 b=4.0434 c=3.7339 alpha=90.00 beta=90.00 gamma=120.00
Sites, in units of the cell vectors:
1 Mn 0.0000 0.0000 0.0000
2 Cd 0.6667 0.3333 0.5000
3 As 0.3333 0.6667 0.0000

***

Record 12
Material: MnCdAs2
Method: DFT, SCAN
State: PBEsol geometry

Summary:
Space group: Amm2
Formation energy, eV per atom: -0.124
E, eV per atom: -22.39
N(E_F), states/eV/cell: 1.4

Unit cell a=3.7289 b=7.2820 c=7.2820 alpha=23.02 beta=90.00 gamma=90.00
Sites, in units of the cell vectors:
1 Mn 0.0000 0.0000 0.0000
2 Cd 0.5000 0.2520 0.2520
3 As 0.0000 0.6412 0.6412
4 As 0.5000 0.4371 0.4371